Compound: La2Pm2Dy
Source: Alexandria
Functional: PBE
Structure: relaxed

Lattice parameters (Å, degrees): 8.835 9.810 9.019 90.00 111.97 90.00
Space group C2/c (No. 15)
Inequivalent atoms, fractional coordinates:
La  0.160  0.088  0.137 (multiplicity 8)
Pm  0.000  0.500  0.000 (multiplicity 4)
Pm  0.250  0.250  0.500 (multiplicity 4)
Dy  0.000  0.203  0.750 (multiplicity 4)

Output
* relative energy among the computed polymorphs: 19.49 kJ/mol of atoms
* size of the total moment: 0.00 μB/f.u.
* energy relative to the elements: 0.2246 eV per atom

=====

Compound: LaPm4Dy4
Source: Alexandria
Functional: PBE
Structure: relaxed

Lattice parameters (Å, degrees): 10.856 10.856 5.100 90.00 90.00 90.00
Space group I4/mmm (No. 139)
Inequivalent atoms, fractional coordinates:
La  0.000  0.000  0.000 (multiplicity 2)
Pm  0.000  0.333  0.000 (multiplicity 8)
Dy  0.168  0.168  0.500 (multiplicity 8)

Output
* size of the total moment: 0.00 μB/f.u.
* energy relative to the elements: 0.0196 eV per atom

=====

Compound: LaPmDy
Source: Alexandria
Functional: PBE
Structure: relaxed

Lattice parameters (Å, degrees): 3.6522 3.6522 53.4423 90.00 90.00 120.00
Space group R3m (No. 160, hexagonal axes)
Inequivalent atoms, fractional coordinates:
La  0.0000  0.0000  0.0000 (multiplicity 3)
La  0.0000  0.0000  0.1668 (multiplicity 3)
Pm  0.0000  0.0000  0.3908 (multiplicity 3)
Pm  0.0000  0.0000  0.5569 (multiplicity 3)
Dy  0.0000  0.0000  0.2773 (multiplicity 3)
Dy  0.0000  0.0000  0.7780 (multiplicity 3)

Output
* relative energy among the computed polymorphs: 0.00 kJ/mol of atoms
* size of the total moment: 0.00 μB/f.u.
* energy relative to the elements: 0.0133 eV per atom

=====

Compound: La3Pm4Dy2
Source: Alexandria
Functional: PBE
Structure: relaxed

Lattice parameters (Å, degrees): 15.989 3.666 10.948 90.00 103.85 90.00
Space group C2/m (No. 12)
Inequivalent atoms, fractional coordinates:
La  0.000  0.000  0.000 (multiplicity 2)
La  0.168  0.500  0.556 (multiplicity 4)
Pm  0.000  0.000  0.331 (multiplicity 4)
Pm  0.167  0.500  0.890 (multiplicity 4)
Dy  0.167  0.500  0.221 (multiplicity 4)

Output
* relative energy among the computed polymorphs: 0.00 kJ/mol of atoms
* size of the total moment: 0.00 μB/f.u.
* energy relative to the elements: 0.0197 eV per atom

=====

Compound: La4Pm5Dy4
Source: Alexandria
Functional: PBE
Structure: relaxed

Lattice parameters (Å, degrees): 13.151 13.151 5.173 90.00 90.00 90.00
Space group I4/m (No. 87)
Inequivalent atoms, fractional coordinates:
La  0.078  0.617  0.000 (multiplicity 8)
Pm  0.000  0.000  0.000 (multiplicity 2)
Pm  0.041  0.810  0.500 (multiplicity 8)
Dy  0.153  0.230  0.000 (multiplicity 8)

Output
* size of the total moment: 0.00 μB/f.u.
* energy relative to the elements: 0.0228 eV per atom

=====

Compound: LaPmDy5
Source: Alexandria
Functional: PBE
Structure: relaxed

Lattice parameters (Å, degrees): 11.784 6.881 12.180 90.00 109.41 90.00
Space group C2/c (No. 15)
Inequivalent atoms, fractional coordinates:
La  0.000  0.026  0.250 (multiplicity 4)
Pm  0.250  0.250  0.000 (multiplicity 4)
Dy  0.000  0.410  0.750 (multiplicity 4)
Dy  0.080  0.280  0.499 (multiplicity 8)
Dy  0.220  0.363  0.252 (multiplicity 8)

Output
* relative energy among the computed polymorphs: 0.00 kJ/mol of atoms
* size of the total moment: 0.00 μB/f.u.
* energy relative to the elements: 0.1933 eV per atom

=====

Compound: La11Pm9Dy4
Source: Alexandria
Functional: PBE
Structure: relaxed

Lattice parameters (Å, degrees): 17.385 26.415 3.724 90.00 90.00 90.00
Space group Cmmm (No. 65)
Inequivalent atoms, fractional coordinates:
La  0.000  0.000  0.000 (multiplicity 2)
La  0.000  0.162  0.000 (multiplicity 4)
La  0.000  0.370  0.000 (multiplicity 4)
La  0.208  0.500  0.000 (multiplicity 4)
La  0.223  0.180  0.000 (multiplicity 8)
Pm  0.000  0.500  0.500 (multiplicity 2)
Pm  0.102  0.268  0.500 (multiplicity 8)
Pm  0.140  0.074  0.500 (multiplicity 8)
Dy  0.158  0.398  0.500 (multiplicity 8)

Output
* size of the total moment: 0.00 μB/f.u.
* energy relative to the elements: 0.0625 eV per atom

=====

Compound: La2Pm6Dy3
Source: Alexandria
Functional: PBE
Structure: relaxed

Lattice parameters (Å, degrees): 6.225 10.799 11.938 90.00 100.19 90.00
Space group C2/m (No. 12)
Inequivalent atoms, fractional coordinates:
La  0.000  0.167  0.000 (multiplicity 4)
Pm  0.249  0.166  0.746 (multiplicity 8)
Pm  0.249  0.500  0.746 (multiplicity 4)
Dy  0.000  0.000  0.500 (multiplicity 2)
Dy  0.000  0.335  0.500 (multiplicity 4)

Output
* relative energy among the computed polymorphs: 0.00 kJ/mol of atoms
* size of the total moment: 0.00 μB/f.u.
* energy relative to the elements: 0.1669 eV per atom

=====

Compound: La2Pm8Dy3
Source: Alexandria
Functional: PBE
Structure: relaxed

Lattice parameters (Å, degrees): 21.095 7.708 5.671 90.00 90.02 90.00
Space group C2/m (No. 12)
Inequivalent atoms, fractional coordinates:
La  0.241  0.000  0.499 (multiplicity 4)
Pm  0.103  0.294  0.500 (multiplicity 8)
Pm  0.128  0.000  0.000 (multiplicity 4)
Pm  0.165  0.500  0.001 (multiplicity 4)
Dy  0.000  0.000  0.500 (multiplicity 2)
Dy  0.000  0.286  0.000 (multiplicity 4)

Output
* relative energy among the computed polymorphs: 4.24 kJ/mol of atoms
* size of the total moment: 0.00 μB/f.u.
* energy relative to the elements: 0.2094 eV per atom

=====

Compound: La2Pm5Dy6
Source: Alexandria
Functional: PBE
Structure: relaxed

Lattice parameters (Å, degrees): 11.819 20.647 3.621 90.00 90.00 90.00
Space group Pbam (No. 55)
Inequivalent atoms, fractional coordinates:
La  0.172  0.221  0.000 (multiplicity 4)
Pm  0.000  0.500  0.500 (multiplicity 2)
Pm  0.088  0.783  0.500 (multiplicity 4)
Pm  0.201  0.054  0.500 (multiplicity 4)
Dy  0.061  0.925  0.000 (multiplicity 4)
Dy  0.074  0.638  0.000 (multiplicity 4)
Dy  0.183  0.376  0.500 (multiplicity 4)

Output
* size of the total moment: 0.00 μB/f.u.
* energy relative to the elements: 0.0937 eV per atom

=====

Compound: La5Pm4Dy2
Source: Alexandria
Functional: PBE
Structure: relaxed

Lattice parameters (Å, degrees): 24.598 3.656 9.435 90.00 111.98 90.00
Space group C2/m (No. 12)
Inequivalent atoms, fractional coordinates:
La  0.000  0.000  0.000 (multiplicity 2)
La  0.115  0.500  0.430 (multiplicity 4)
La  0.132  0.500  0.072 (multiplicity 4)
Pm  0.042  0.500  0.701 (multiplicity 4)
Pm  0.185  0.000  0.829 (multiplicity 4)
Dy  0.234  0.000  0.342 (multiplicity 4)

Output
* relative energy among the computed polymorphs: 4.69 kJ/mol of atoms
* size of the total moment: 0.00 μB/f.u.
* energy relative to the elements: 0.1239 eV per atom

=====

Compound: LaPm2Dy4
Source: Alexandria
Functional: PBE
Structure: relaxed

Lattice parameters (Å, degrees): 4.591 4.591 22.839 90.00 90.00 90.00
Space group I4/mmm (No. 139)
Inequivalent atoms, fractional coordinates:
La  0.000  0.000  0.000 (multiplicity 2)
Pm  0.000  0.000  0.398 (multiplicity 4)
Dy  0.000  0.000  0.141 (multiplicity 4)
Dy  0.000  0.500  0.250 (multiplicity 4)

Output
* relative energy among the computed polymorphs: 0.00 kJ/mol of atoms
* size of the total moment: 0.00 μB/f.u.
* energy relative to the elements: 0.2454 eV per atom